# Nd5Er6 GGA-PBE relaxed
data_Nd5Er6
_chemical_formula_sum 'Nd10 Er12'
_cell_length_a 5.5924
_cell_length_b 8.1419
_cell_length_c 16.1114
_cell_angle_alpha 90.00
_cell_angle_beta 90.00
_cell_angle_gamma 90.00
_space_group_name_H-M_alt 'I m m m'
_space_group_IT_number 71
_space_group_name_Hall '-I 2 2'
loop_
_atom_site_label
_atom_site_fract_x
_atom_site_fract_y
_atom_site_fract_z
Nd1 0.0000 0.0000 0.0000
Nd2 0.0000 0.0000 0.3017
Nd3 0.0000 0.5000 0.3375
Er1 0.0000 0.2058 0.5000
Er2 0.0000 0.2949 0.1363
# Size of the total moment (μB per atom): 0.000
# Total DFT energy (no corrections) (eV per atom): -4.5408
# Relative energy among the computed polymorphs (kJ per mole of atoms): 0.00